# 1
ThCdIr2: optimized geometry, GGA-PBE.

* VASP energy: -0.2570 hartree per atom

Cell lengths 3.883, 4.499, 4.499 Å; angles 90.00, 90.00, 90.00 degrees
Fractional positions:
Ir  0.000  0.000  0.500
Ir  0.000  0.500  0.000
Th  0.500  0.000  0.000
Cd  0.500  0.500  0.500



# 2
Th3CdIr8: optimized geometry, GGA-PBE.

* VASP energy: -0.3119 hartree per atom

Cell lengths 5.421, 5.421, 9.404 Å; angles 73.25, 73.25, 60.00 degrees
Fractional positions:
Th  0.377  0.377  0.870
Th  0.993  0.993  0.020
Th  0.505  0.505  0.484
Cd  0.871  0.871  0.386
Ir  0.941  0.437  0.186
Ir  0.438  0.937  0.687
Ir  0.437  0.437  0.186
Ir  0.937  0.937  0.687
Ir  0.188  0.188  0.436
Ir  0.688  0.688  0.936
Ir  0.437  0.941  0.186
Ir  0.937  0.438  0.687



# 3
Th2CdIr9: optimized geometry, GGA-PBE.

* VASP energy: -0.3051 hartree per atom

Cell lengths 5.319, 5.319, 9.479 Å; angles 73.71, 73.71, 60.00 degrees
Fractional positions:
Th  0.865  0.865  0.406
Th  0.135  0.135  0.594
Cd  0.000  0.000  0.000
Ir  0.667  0.667  0.998
Ir  0.333  0.333  0.002
Ir  0.500  0.500  0.500
Ir  0.418  0.418  0.245
Ir  0.919  0.418  0.245
Ir  0.418  0.919  0.245
Ir  0.582  0.582  0.755
Ir  0.582  0.081  0.755
Ir  0.081  0.582  0.755



# 4
TmThCdIr: optimized geometry, GGA-PBE.

* VASP energy: -0.2149 hartree per atom

Cell lengths 5.122, 5.122, 5.122 Å; angles 60.00, 60.00, 60.00 degrees
Fractional positions:
Ir  0.250  0.250  0.250
Tm  0.000  0.000  0.000
Th  0.500  0.500  0.500
Cd  0.750  0.750  0.750



# 5
TiCd3Ir: optimized geometry, GGA-PBE.

* energy relative to the lowest polymorph listed for this composition: 774 meV per atom

Cell lengths 5.162, 5.162, 5.162 Å; angles 90.00, 90.00, 90.00 degrees
Fractional positions:
Ir  0.500  0.500  0.500
Ti  0.000  0.000  0.000
Cd  0.000  0.500  0.000
Cd  0.000  0.000  0.500
Cd  0.500  0.000  0.000



# 6
Ti4CdIr5: optimized geometry, GGA-PBE.

* VASP energy: -0.3072 hartree per atom

Cell lengths 3.198, 3.198, 15.289 Å; angles 90.00, 90.00, 90.00 degrees
Fractional positions:
Ti  0.000  0.000  0.205
Ti  0.000  0.000  0.403
Ti  0.000  0.000  0.597
Ti  0.000  0.000  0.795
Cd  0.000  0.000  0.000
Ir  0.500  0.500  0.120
Ir  0.500  0.500  0.308
Ir  0.500  0.500  0.500
Ir  0.500  0.500  0.692
Ir  0.500  0.500  0.880



# 7
TiCdIr2: optimized geometry, GGA-PBE.

* VASP energy: -0.2610 hartree per atom

Cell lengths 3.046, 3.046, 6.977 Å; angles 90.00, 90.00, 90.00 degrees
Fractional positions:
Ir  0.000  0.000  0.783
Ir  0.000  0.000  0.217
Ti  0.500  0.500  0.000
Cd  0.500  0.500  0.500



# 8
TiCdIr: optimized geometry, GGA-PBE.

* VASP energy: -0.2236 hartree per atom

Cell lengths 5.732, 4.547, 6.255 Å; angles 73.22, 62.73, 50.94 degrees
Fractional positions:
Ti  0.750  0.500  0.500
Ti  0.250  0.500  0.500
Cd  0.818  0.364  0.000
Cd  0.182  0.636  0.000
Ir  0.635  0.000  0.729
Ir  0.365  0.000  0.271



# 9
Ti2CdIr: optimized geometry, GGA-PBE.

* VASP energy: -0.2500 hartree per atom

Cell lengths 2.914, 2.914, 8.072 Å; angles 90.00, 90.00, 90.00 degrees
Fractional positions:
Ir  0.500  0.500  0.000
Ti  0.000  0.000  0.785
Ti  0.000  0.000  0.215
Cd  0.500  0.500  0.500



# 10
Ti2CdIr2: optimized geometry, GGA-PBE.

* energy relative to the lowest polymorph listed for this composition: 0 meV per atom

Cell lengths 7.540, 7.540, 2.943 Å; angles 90.00, 90.00, 90.00 degrees
Fractional positions:
Ir  0.363  0.863  0.000
Ir  0.863  0.637  0.000
Ir  0.637  0.137  0.000
Ir  0.137  0.363  0.000
Ti  0.156  0.656  0.500
Ti  0.656  0.844  0.500
Ti  0.844  0.344  0.500
Ti  0.344  0.156  0.500
Cd  0.000  0.000  0.000
Cd  0.500  0.500  0.000



# 11
Ti2CdIr2: optimized geometry, GGA-PBE.

* energy relative to the lowest polymorph listed for this composition: 117 meV per atom

Cell lengths 4.174, 4.174, 6.119 Å; angles 70.06, 70.06, 90.00 degrees
Fractional positions:
Ir  0.382  0.382  0.236
Ir  0.618  0.618  0.764
Ti  0.750  0.250  0.500
Ti  0.250  0.750  0.500
Cd  0.000  0.000  0.000



# 12
TiCd3Ir: optimized geometry, GGA-PBE.

* energy relative to the lowest polymorph listed for this composition: 0 meV per atom

Cell lengths 5.098, 5.098, 5.098 Å; angles 90.00, 90.00, 90.00 degrees
Fractional positions:
Ir  0.000  0.000  0.000
Ti  0.500  0.500  0.500
Cd  0.000  0.500  0.000
Cd  0.000  0.000  0.500
Cd  0.500  0.000  0.000



# 13
Ti12Cd3Ir5: optimized geometry, GGA-PBE.

* VASP energy: -0.2485 hartree per atom

Cell lengths 13.101, 13.101, 13.101 Å; angles 109.47, 109.47, 109.47 degrees
Fractional positions:
Cd  0.750  0.375  0.125
Cd  0.875  0.750  0.125
Cd  0.375  0.750  0.625
Cd  0.250  0.125  0.375
Cd  0.875  0.125  0.250
Cd  0.375  0.625  0.250
Cd  0.625  0.375  0.750
Cd  0.125  0.875  0.750
Cd  0.750  0.875  0.625
Cd  0.625  0.250  0.375
Cd  0.125  0.250  0.875
Cd  0.250  0.625  0.875
Ir  0.125  0.375  0.250
Ir  0.000  0.500  0.000
Ir  0.000  0.000  0.000
Ir  0.375  0.250  0.125
Ir  0.500  0.000  0.500
Ir  0.500  0.500  0.000
Ir  0.125  0.750  0.375
Ir  0.750  0.125  0.875
Ir  0.750  0.625  0.375
Ir  0.375  0.125  0.750
Ir  0.625  0.875  0.250
Ir  0.500  0.500  0.500
Ir  0.500  0.000  0.000
Ir  0.000  0.000  0.500
Ir  0.250  0.375  0.625
Ir  0.250  0.875  0.125
Ir  0.000  0.500  0.500
Ir  0.875  0.250  0.625
Ir  0.625  0.750  0.875
Ir  0.875  0.625  0.750
Ti  0.715  0.126  0.045
Ti  0.330  0.545  0.418
Ti  0.955  0.374  0.285
Ti  0.545  0.215  0.126
Ti  0.588  0.715  0.670
Ti  0.955  0.582  0.170
Ti  0.330  0.785  0.412
Ti  0.082  0.912  0.126
Ti  0.582  0.955  0.670
Ti  0.715  0.588  0.170
Ti  0.785  0.455  0.374
Ti  0.830  0.918  0.045
Ti  0.126  0.715  0.545
Ti  0.374  0.418  0.088
Ti  0.088  0.918  0.374
Ti  0.412  0.126  0.582
Ti  0.088  0.170  0.215
Ti  0.455  0.670  0.082
Ti  0.830  0.912  0.285
Ti  0.126  0.412  0.082
Ti  0.374  0.955  0.785
Ti  0.582  0.626  0.412
Ti  0.918  0.830  0.545
Ti  0.785  0.330  0.912
Ti  0.418  0.374  0.588
Ti  0.082  0.170  0.455
Ti  0.215  0.670  0.088
Ti  0.170  0.088  0.715
Ti  0.626  0.045  0.215
Ti  0.874  0.588  0.918
Ti  0.545  0.330  0.918
Ti  0.588  0.874  0.418
Ti  0.912  0.830  0.785
Ti  0.912  0.082  0.626
Ti  0.874  0.285  0.455
Ti  0.170  0.082  0.955
Ti  0.626  0.582  0.912
Ti  0.418  0.045  0.330
Ti  0.285  0.412  0.830
Ti  0.215  0.545  0.626
Ti  0.918  0.088  0.874
Ti  0.670  0.215  0.588
Ti  0.455  0.785  0.874
Ti  0.045  0.418  0.830
Ti  0.412  0.285  0.330
Ti  0.045  0.626  0.715
Ti  0.670  0.455  0.582
Ti  0.285  0.874  0.955



# 14
Ti2CdIr: optimized geometry, GGA-PBE.

* VASP energy: -0.2354 hartree per atom

Cell lengths 7.381, 7.381, 5.902 Å; angles 51.30, 51.30, 90.00 degrees
Fractional positions:
Ir  0.000  0.000  0.000
Ir  0.750  0.250  0.500
Ti  0.674  0.125  0.250
Ti  0.076  0.625  0.250
Ti  0.375  0.326  0.750
Ti  0.875  0.924  0.750
Cd  0.500  0.500  0.000
Cd  0.250  0.750  0.500



# 15
Ti2CdIr2: optimized geometry, GGA-PBE.

* energy relative to the lowest polymorph listed for this composition: 121 meV per atom

Cell lengths 7.656, 7.656, 2.878 Å; angles 90.00, 90.00, 90.00 degrees
Fractional positions:
Ir  0.144  0.644  0.500
Ir  0.644  0.856  0.500
Ir  0.856  0.356  0.500
Ir  0.356  0.144  0.500
Ti  0.354  0.854  0.000
Ti  0.854  0.646  0.000
Ti  0.646  0.146  0.000
Ti  0.146  0.354  0.000
Cd  0.000  0.000  0.000
Cd  0.500  0.500  0.000



# 16
TiCdIr2: optimized geometry, GGA-PBE.

* VASP energy: -0.2419 hartree per atom

Cell lengths 7.139, 7.139, 5.763 Å; angles 51.73, 51.73, 90.00 degrees
Fractional positions:
Ir  0.586  0.125  0.250
Ir  0.164  0.625  0.250
Ir  0.375  0.414  0.750
Ir  0.875  0.836  0.750
Ti  0.500  0.500  0.000
Ti  0.250  0.750  0.500
Cd  0.000  0.000  0.000
Cd  0.750  0.250  0.500



# 17
TiZnCd2Ir: optimized geometry, GGA-PBE.

* VASP energy: -0.0867 hartree per atom

Cell lengths 5.091, 4.727, 5.091 Å; angles 90.00, 90.00, 90.00 degrees
Fractional positions:
Zn  0.000  0.500  0.000
Ir  0.500  0.500  0.500
Ti  0.000  0.000  0.000
Cd  0.000  0.000  0.500
Cd  0.500  0.000  0.000



# 18
Tl2CdIr: optimized geometry, GGA-PBE.

* energy relative to the lowest polymorph listed for this composition: 70 meV per atom

Cell lengths 3.226, 3.226, 8.892 Å; angles 90.00, 90.00, 90.01 degrees
Fractional positions:
Tl  0.000  0.000  0.946
Tl  0.500  0.500  0.260
Ir  0.500  0.500  0.741
Cd  0.000  0.000  0.553



# 19
Tl2CdIr: optimized geometry, GGA-PBE.

* energy relative to the lowest polymorph listed for this composition: 249 meV per atom

Cell lengths 5.398, 5.398, 5.398 Å; angles 132.03, 132.03, 70.18 degrees
Fractional positions:
Tl  0.000  0.000  0.000
Tl  0.250  0.750  0.500
Ir  0.750  0.250  0.500
Cd  0.500  0.500  0.000



# 20
TlCd2Ir: optimized geometry, GGA-PBE.

* energy relative to the lowest polymorph listed for this composition: 202 meV per atom

Cell lengths 5.006, 5.006, 3.238 Å; angles 90.00, 90.00, 90.00 degrees
Fractional positions:
Tl  0.000  0.500  0.500
Ir  0.500  0.000  0.500
Cd  0.000  0.000  0.000
Cd  0.500  0.500  0.000